[1]
First-principles (PBE-GGA) data for a relaxed PrErHg3 crystal, as listed in the Alexandria database.

Unit cell a=5.918 b=8.798 c=5.959 alpha=90.00 beta=90.00 gamma=90.00
Fractional positions:
Pr 0.000 0.000 0.000
Pr 0.500 0.500 0.000
Er 0.000 0.500 0.500
Er 0.500 0.000 0.500
Hg 0.000 0.500 0.000
Hg 0.001 0.169 0.500
Hg 0.499 0.669 0.500
Hg 0.500 0.000 0.000
Hg 0.501 0.331 0.500
Hg 0.999 0.831 0.500

Computed properties:
D(E_F) = 3.727 states/eV/f.u.
calculated density = 9740 kg/m3
E above lowest polymorph = 285.6 meV/atom
volume = 31.0 Å³ per atom

***

[2]
First-principles (PBE-GGA) data for a relaxed LaAlAu11 crystal, as listed in the Alexandria database.

Unit cell a=7.220 b=7.220 c=7.273 alpha=97.45 beta=97.45 gamma=134.75
Fractional positions:
La 0.000 0.000 0.000
Al 0.500 0.500 0.500
Au 0.000 0.000 0.500
Au 0.000 0.500 0.000
Au 0.005 0.662 0.651
Au 0.310 0.521 0.779
Au 0.338 0.995 0.349
Au 0.479 0.690 0.221
Au 0.500 0.000 0.000
Au 0.521 0.310 0.779
Au 0.662 0.005 0.651
Au 0.690 0.479 0.221
Au 0.995 0.338 0.349

Computed properties:
D(E_F) = 3.485 states/eV/f.u.
calculated density = 15277 kg/m3
electronic total energy = -48.701 eV/cell
volume = 19.5 Å³ per atom

***

Look up the D(E_F) of the second one.
3.485 states/eV/f.u.